Density functional theory data (PBE) for a relaxed structure of Rb2BaUSe6.

Lattice parameters (Å, degrees): 8.0330 8.2819 14.1021 90.00 124.14 90.00
With the nearest neighbours (Å) after each atom.
Atoms (fractional coordinates):
Rb (0.2434, 0.0380, 0.2516)  7 Se 3.64-4.04
Rb (0.2434, 0.4620, 0.7516)  7 Se 3.64-4.04
Rb (0.7566, 0.5380, 0.2484)  7 Se 3.64-4.04
Rb (0.7566, 0.9620, 0.7484)  7 Se 3.64-4.04
Ba (0.5000, 0.0000, 0.0000)  6 Se 3.22-3.23
Ba (0.5000, 0.5000, 0.5000)  6 Se 3.22-3.23
U (0.0000, 0.0000, 0.5000)  6 Se 2.67
U (0.0000, 0.5000, 0.0000)  6 Se 2.67
Se (0.1490, 0.2311, 0.9700)  1 U 2.67
Se (0.1490, 0.2689, 0.4700)  1 U 2.67
Se (0.2532, 0.6796, 0.9791)  1 U 2.67
Se (0.2532, 0.8204, 0.4791)  1 U 2.67
Se (0.2717, 0.0182, 0.7260)  1 U 2.67
Se (0.2717, 0.4818, 0.2260)  1 U 2.67
Se (0.7283, 0.5182, 0.7740)  1 U 2.67
Se (0.7283, 0.9818, 0.2740)  1 U 2.67
Se (0.7468, 0.1796, 0.5209)  1 U 2.67
Se (0.7468, 0.3204, 0.0209)  1 U 2.67
Se (0.8510, 0.7311, 0.5300)  1 U 2.67
Se (0.8510, 0.7689, 0.0300)  1 U 2.67

Values from the calculation:
E_form (uncorrected) (eV/atom): -1.072
Space group: P2_1/c (14)